An optimized crystal structure of K2PtPb. Source: the Alexandria database, functional GGA-PBEsol.

a = 4.2095 Å, b = 5.8015 Å, c = 6.4039 Å
α = 116.93°, β = 109.19°, γ = 90.00°
Element x y z (fractional)
1 K 0.7708 0.2708 0.5416
2 K 0.9631 0.9631 0.9262
3 Pb 0.5600 0.5600 0.1200
4 Pt 0.2061 0.7061 0.4122

Results
* energy: -3.35 eV per atom
* ρ: 6.156 g/cm3
* total moment: 0.00 μB/atom
* symmetry: Imm2 (44)
* formation enthalpy at 0 K: -0.04 eV per atom

An optimized crystal structure of Y2TaBr. Source: the Alexandria database, functional GGA-PBEsol.

a = 5.1205 Å, b = 5.1205 Å, c = 5.1205 Å
α = 60.00°, β = 60.00°, γ = 60.00°
Site moments in Bohr magnetons follow the coordinates.
Element x y z (fractional)
1 Br 0.0000 0.0000 0.0000  0.00
2 Y 0.7500 0.7500 0.7500  0.10
3 Ta 0.5000 0.5000 0.5000  0.52
4 Y 0.2500 0.2500 0.2500  0.10

Results
* energy: -6.66 eV per atom
* ρ: 7.673 g/cm3
* total moment: 0.25 μB/atom
* symmetry: Fm-3m (225)
* formation energy (no corrections): 0.360 eV/atom

An optimized crystal structure of K2BaY. Source: the Alexandria database, functional GGA-PBEsol.

a = 4.0549 Å, b = 6.6677 Å, c = 7.2588 Å
α = 90.00°, β = 90.00°, γ = 90.00°
Element x y z (fractional)
1 Ba 0.0000 0.5000 0.5000
2 K 0.0000 0.0000 0.0000
3 Y 0.5000 0.0000 0.5000
4 K 0.5000 0.5000 0.0000

Results
* energy: -2.40 eV per atom
* ρ: 2.576 g/cm3
* total moment: 0.00 μB/atom
* symmetry: Pmmm (47)
* formation enthalpy at 0 K: 0.41 eV per atom
* excess energy over the best structure of this formula in the dataset: 133 meV/atom

An optimized crystal structure of VO2. Source: the Alexandria database, functional GGA-PBEsol.

a = 2.8051 Å, b = 4.5383 Å, c = 4.5383 Å
α = 90.00°, β = 90.00°, γ = 90.00°
Site moments in Bohr magnetons follow the coordinates.
Element x y z (fractional)
1 O 0.0000 0.7011 0.7011  -0.04
2 O 0.5000 0.7989 0.2011  -0.04
3 O 0.5000 0.2011 0.7989  -0.04
4 O 0.0000 0.2989 0.2989  -0.04
5 V 0.5000 0.5000 0.5000  1.02
6 V 0.0000 0.0000 0.0000  1.02

Results
* energy: -9.10 eV per atom
* ρ: 4.768 g/cm3
* total moment: 0.33 μB/atom
* symmetry: P4_2/mnm (136)
* formation energy (no corrections): -2.393 eV/atom